The following is a GGA-PBE calculation of Tl2CdPb after structural relaxation, from Alexandria.

DFT total energy, eV per atom: -2.295
ΔE_f, kcal/mol of atoms: 1.01
Fermi-level density of states, states/eV/f.u.: 1.71

Cell and atoms, written as CIF:
```
data_Tl2CdPb
_cell_length_a 6.183
_cell_length_b 6.183
_cell_length_c 6.183
_cell_angle_alpha 134.98
_cell_angle_beta 134.98
_cell_angle_gamma 65.56
_space_group_name_H-M_alt 'P 1'
_space_group_IT_number 1
_space_group_name_Hall 'P 1'
loop_
_atom_site_label
_atom_site_type_symbol
_atom_site_fract_x
_atom_site_fract_y
_atom_site_fract_z
Tl1 Tl 0.000 0.000 0.000
Tl2 Tl 0.500 0.500 0.000
Cd1 Cd 0.250 0.750 0.500
Pb1 Pb 0.750 0.250 0.500
```

The following is a GGA-PBE calculation of Tl4CdPb after structural relaxation, from Alexandria.

DFT total energy, eV per atom: -2.201
ΔE_f, kcal/mol of atoms: 3.39
Fermi-level density of states, states/eV/f.u.: 3.34

Cell and atoms, written as CIF:
```
data_Tl4CdPb
_cell_length_a 6.459
_cell_length_b 6.459
_cell_length_c 6.459
_cell_angle_alpha 60.00
_cell_angle_beta 60.00
_cell_angle_gamma 60.00
_space_group_name_H-M_alt 'P 1'
_space_group_IT_number 1
_space_group_name_Hall 'P 1'
loop_
_atom_site_label
_atom_site_type_symbol
_atom_site_fract_x
_atom_site_fract_y
_atom_site_fract_z
Tl1 Tl 0.375 0.876 0.375
Tl2 Tl 0.375 0.375 0.375
Tl3 Tl 0.876 0.375 0.375
Tl4 Tl 0.375 0.375 0.876
Pb1 Pb 0.000 0.000 0.000
Cd1 Cd 0.750 0.750 0.750
```

The following is a GGA-PBE calculation of Tl17CdPb11 after structural relaxation, from Alexandria.

DFT total energy, eV per atom: -2.818
ΔE_f, kcal/mol of atoms: 0.17
Fermi-level density of states, states/eV/f.u.: 13.47

Cell and atoms, written as CIF:
```
data_Tl17CdPb11
_cell_length_a 10.611
_cell_length_b 10.611
_cell_length_c 10.582
_cell_angle_alpha 109.50
_cell_angle_beta 109.50
_cell_angle_gamma 109.43
_space_group_name_H-M_alt 'P 1'
_space_group_IT_number 1
_space_group_name_Hall 'P 1'
loop_
_atom_site_label
_atom_site_type_symbol
_atom_site_fract_x
_atom_site_fract_y
_atom_site_fract_z
Tl1 Tl 0.353 0.000 0.001
Tl2 Tl 0.000 0.591 0.313
Tl3 Tl 0.312 0.001 0.591
Tl4 Tl 0.997 0.997 0.353
Tl5 Tl 0.591 0.000 0.313
Tl6 Tl 0.681 0.681 0.279
Tl7 Tl 0.409 0.715 0.402
Tl8 Tl 0.000 0.000 0.002
Tl9 Tl 0.001 0.312 0.591
Tl10 Tl 0.405 0.405 0.717
Tl11 Tl 0.279 0.685 0.687
Tl12 Tl 0.000 0.353 0.001
Tl13 Tl 0.312 0.591 0.000
Tl14 Tl 0.685 0.279 0.687
Tl15 Tl 0.651 0.651 0.650
Tl16 Tl 0.715 0.409 0.402
Tl17 Tl 0.591 0.312 0.000
Pb1 Pb 0.199 0.199 0.829
Pb2 Pb 0.624 0.999 0.808
Pb3 Pb 0.816 0.191 0.192
Pb4 Pb 0.376 0.188 0.371
Pb5 Pb 0.002 0.813 0.626
Pb6 Pb 0.810 0.625 0.001
Pb7 Pb 0.999 0.624 0.808
Pb8 Pb 0.188 0.376 0.371
Pb9 Pb 0.813 0.002 0.626
Pb10 Pb 0.191 0.816 0.192
Pb11 Pb 0.625 0.810 0.001
Cd1 Cd 0.378 0.378 0.187
```

The following is a GGA-PBE calculation of Tl8CdPb2 after structural relaxation, from Alexandria.

Energy above the most stable polymorph in this dataset, kJ/mol of atoms: 0.0
DFT total energy, eV per atom: -2.459
ΔE_f, kcal/mol of atoms: 0.44
Fermi-level density of states, states/eV/f.u.: 3.77

Cell and atoms, written as CIF:
```
data_Tl8CdPb2
_cell_length_a 4.529
_cell_length_b 8.121
_cell_length_c 9.637
_cell_angle_alpha 104.38
_cell_angle_beta 103.59
_cell_angle_gamma 90.00
_space_group_name_H-M_alt 'P 1'
_space_group_IT_number 1
_space_group_name_Hall 'P 1'
loop_
_atom_site_label
_atom_site_type_symbol
_atom_site_fract_x
_atom_site_fract_y
_atom_site_fract_z
Pb1 Pb 0.228 0.633 0.456
Pb2 Pb 0.772 0.367 0.544
Cd1 Cd 0.500 0.000 0.000
Tl1 Tl 0.682 0.916 0.363
Tl2 Tl 0.046 0.739 0.092
Tl3 Tl 0.409 0.541 0.819
Tl4 Tl 0.866 0.813 0.733
Tl5 Tl 0.591 0.459 0.181
Tl6 Tl 0.318 0.084 0.637
Tl7 Tl 0.954 0.261 0.908
Tl8 Tl 0.134 0.187 0.267
```

The following is a GGA-PBE calculation of Tl2Cd9Pb after structural relaxation, from Alexandria.

DFT total energy, eV per atom: -1.341
ΔE_f, kcal/mol of atoms: 1.13
Fermi-level density of states, states/eV/f.u.: 5.07

Cell and atoms, written as CIF:
```
data_Tl2Cd9Pb
_cell_length_a 6.030
_cell_length_b 6.030
_cell_length_c 10.425
_cell_angle_alpha 73.19
_cell_angle_beta 73.19
_cell_angle_gamma 60.00
_space_group_name_H-M_alt 'P 1'
_space_group_IT_number 1
_space_group_name_Hall 'P 1'
loop_
_atom_site_label
_atom_site_type_symbol
_atom_site_fract_x
_atom_site_fract_y
_atom_site_fract_z
Tl1 Tl 0.856 0.856 0.431
Tl2 Tl 0.144 0.144 0.569
Cd1 Cd 0.920 0.413 0.254
Cd2 Cd 0.587 0.587 0.746
Cd3 Cd 0.666 0.666 0.002
Cd4 Cd 0.080 0.587 0.746
Cd5 Cd 0.500 0.500 0.500
Cd6 Cd 0.413 0.920 0.254
Cd7 Cd 0.413 0.413 0.254
Cd8 Cd 0.334 0.334 0.998
Cd9 Cd 0.587 0.080 0.746
Pb1 Pb 0.000 0.000 0.000
```

The following is a GGA-PBE calculation of Tl2CdPb after structural relaxation, from Alexandria.

DFT total energy, eV per atom: -2.231
ΔE_f, kcal/mol of atoms: 2.50
Fermi-level density of states, states/eV/f.u.: 2.18

Cell and atoms, written as CIF:
```
data_Tl2CdPb
_cell_length_a 4.549
_cell_length_b 4.549
_cell_length_c 12.277
_cell_angle_alpha 100.68
_cell_angle_beta 100.68
_cell_angle_gamma 90.00
_space_group_name_H-M_alt 'P 1'
_space_group_IT_number 1
_space_group_name_Hall 'P 1'
loop_
_atom_site_label
_atom_site_type_symbol
_atom_site_fract_x
_atom_site_fract_y
_atom_site_fract_z
Pb1 Pb 0.250 0.750 0.500
Pb2 Pb 0.500 0.500 0.000
Tl1 Tl 0.120 0.125 0.750
Tl2 Tl 0.630 0.625 0.750
Tl3 Tl 0.375 0.880 0.250
Tl4 Tl 0.875 0.370 0.250
Cd1 Cd 0.750 0.250 0.500
Cd2 Cd 0.000 0.000 0.000
```

Number 1: magnetic moment 0.0 μB per cell. Number 2: magnetic moment 0.0 μB per cell. Number 3: magnetic moment 0.0 μB per cell. Number 4: magnetic moment 0.0 μB per cell. Number 5: magnetic moment 0.0 μB per cell. Number 6: magnetic moment 0.0 μB per cell.